*w*
{"formula": "Tc3AuF", "functional": "PBE", "state": "optimized geometry", "magmom_total_mub_per_atom": 0.259, "n_ef_per_ev_cell": 5.67, "vol_a3_per_atom": 14.7, "cell": [[4.192, 0.000, 0.000], [0.000, 4.192, 0.000], [0.000, 0.000, 4.192]], "species": ["Tc", "Tc", "Tc", "Au", "F"], "frac_coords": [[0.000, 0.000, 0.500], [0.000, 0.500, 0.000], [0.500, 0.000, 0.000], [0.500, 0.500, 0.500], [0.000, 0.000, 0.000]]}



*x*
{"formula": "Tc3AuF", "functional": "PBE", "state": "optimized geometry", "magmom_total_mub_per_atom": 2.442, "n_ef_per_ev_cell": 7.16, "vol_a3_per_atom": 27.6, "cell": [[5.166, 0.000, 0.000], [0.000, 5.166, 0.000], [0.000, 0.000, 5.166]], "species": ["Tc", "Tc", "Tc", "Au", "F"], "frac_coords": [[0.000, 0.000, 0.500], [0.000, 0.500, 0.000], [0.500, 0.000, 0.000], [0.000, 0.000, 0.000], [0.500, 0.500, 0.500]]}



Energy above the most stable structure, in meV/atom: *w* 0; *x* 1218



*w*
{"formula": "TcAuF3", "functional": "PBE", "state": "optimized geometry", "magmom_total_mub_per_atom": 0.821, "n_ef_per_ev_cell": 2.95, "vol_a3_per_atom": 15.8, "cell": [[4.291, 0.000, 0.000], [0.000, 4.291, 0.000], [0.000, 0.000, 4.291]], "species": ["Tc", "Au", "F", "F", "F"], "frac_coords": [[0.000, 0.000, 0.000], [0.500, 0.500, 0.500], [0.000, 0.000, 0.500], [0.000, 0.500, 0.000], [0.500, 0.000, 0.000]]}



*x*
{"formula": "TcAuF3", "functional": "PBE", "state": "optimized geometry", "magmom_total_mub_per_atom": 0.938, "n_ef_per_ev_cell": 5.60, "vol_a3_per_atom": 16.3, "cell": [[4.340, 0.000, 0.000], [0.000, 4.340, 0.000], [0.000, 0.000, 4.340]], "species": ["Tc", "Au", "F", "F", "F"], "frac_coords": [[0.000, 0.000, 0.000], [0.500, 0.500, 0.500], [0.000, 0.500, 0.500], [0.500, 0.000, 0.500], [0.500, 0.500, 0.000]]}



Energy above the most stable structure, in meV/atom: *w* 0; *x* 752



*w*
{"formula": "Te2AuF", "functional": "PBE", "state": "optimized geometry", "magmom_total_mub_per_atom": 0.000, "n_ef_per_ev_cell": 2.11, "vol_a3_per_atom": 20.2, "cell": [[0.000, 3.431, 3.431], [3.431, 0.000, 3.431], [3.431, 3.431, 0.000]], "species": ["Te", "Te", "Au", "F"], "frac_coords": [[0.250, 0.250, 0.250], [0.750, 0.750, 0.750], [0.000, 0.000, 0.000], [0.500, 0.500, 0.500]]}



*x*
{"formula": "Te2AuF", "functional": "PBE", "state": "optimized geometry", "magmom_total_mub_per_atom": 0.000, "n_ef_per_ev_cell": 2.17, "vol_a3_per_atom": 22.2, "cell": [[1.664, 0.961, 9.251], [-1.664, 0.961, 9.251], [0.000, -1.922, 9.251]], "species": ["Te", "Te", "Au", "F"], "frac_coords": [[0.083, 0.083, 0.083], [0.917, 0.917, 0.917], [0.500, 0.500, 0.500], [0.000, 0.000, 0.000]]}



*y*
{"formula": "Te2AuF", "functional": "PBE", "state": "optimized geometry", "magmom_total_mub_per_atom": 0.000, "n_ef_per_ev_cell": 5.29, "vol_a3_per_atom": 23.2, "cell": [[-2.257, 2.257, 9.100], [2.257, -2.257, 9.100], [2.257, 2.257, -9.100]], "species": ["Te", "Te", "Te", "Te", "Au", "Au", "F", "F"], "frac_coords": [[0.121, 0.625, 0.996], [0.375, 0.371, 0.496], [0.629, 0.125, 0.004], [0.875, 0.879, 0.504], [0.250, 0.750, 0.500], [0.500, 0.500, 0.000], [0.000, 0.000, 0.000], [0.750, 0.250, 0.500]]}



Energy above the most stable structure, in meV/atom: *w* 0; *x* 45; *y* 80



*w*
{"formula": "Ti3AuF", "functional": "PBE", "state": "optimized geometry", "magmom_total_mub_per_atom": 0.435, "n_ef_per_ev_cell": 4.81, "vol_a3_per_atom": 14.9, "cell": [[4.209, 0.000, 0.000], [0.000, 4.209, 0.000], [0.000, 0.000, 4.209]], "species": ["Ti", "Ti", "Ti", "Au", "F"], "frac_coords": [[0.000, 0.000, 0.500], [0.000, 0.500, 0.000], [0.500, 0.000, 0.000], [0.500, 0.500, 0.500], [0.000, 0.000, 0.000]]}



*x*
{"formula": "Ti3AuF", "functional": "PBE", "state": "optimized geometry", "magmom_total_mub_per_atom": 0.841, "n_ef_per_ev_cell": 5.93, "vol_a3_per_atom": 25.0, "cell": [[5.002, 0.000, 0.000], [0.000, 5.002, 0.000], [0.000, 0.000, 5.002]], "species": ["Ti", "Ti", "Ti", "Au", "F"], "frac_coords": [[0.000, 0.000, 0.500], [0.000, 0.500, 0.000], [0.500, 0.000, 0.000], [0.000, 0.000, 0.000], [0.500, 0.500, 0.500]]}



Energy above the most stable structure, in meV/atom: *w* 0; *x* 1259



*w*
{"formula": "TlAu3F", "functional": "PBE", "state": "optimized geometry", "magmom_total_mub_per_atom": 0.052, "n_ef_per_ev_cell": 6.34, "vol_a3_per_atom": 30.3, "cell": [[5.331, 0.000, 0.000], [0.000, 5.331, 0.000], [0.000, 0.000, 5.331]], "species": ["Tl", "Au", "Au", "Au", "F"], "frac_coords": [[0.000, 0.000, 0.000], [0.000, 0.000, 0.500], [0.000, 0.500, 0.000], [0.500, 0.000, 0.000], [0.500, 0.500, 0.500]]}



*x*
{"formula": "TlAu3F", "functional": "PBE", "state": "optimized geometry", "magmom_total_mub_per_atom": 0.000, "n_ef_per_ev_cell": 3.24, "vol_a3_per_atom": 21.3, "cell": [[4.739, 0.000, 0.000], [0.000, 4.739, 0.000], [0.000, 0.000, 4.739]], "species": ["Tl", "Au", "Au", "Au", "F"], "frac_coords": [[0.000, 0.000, 0.000], [0.000, 0.500, 0.500], [0.500, 0.000, 0.500], [0.500, 0.500, 0.000], [0.500, 0.500, 0.500]]}



Energy above the most stable structure, in meV/atom: *w* 430; *x* 0



*w*
{"formula": "TlAuF", "functional": "PBE", "state": "optimized geometry", "magmom_total_mub_per_atom": 0.000, "n_ef_per_ev_cell": 1.38, "vol_a3_per_atom": 22.9, "cell": [[15.287, 0.000, 0.000], [0.000, 1.611, 2.789], [0.000, -1.611, 2.789]], "species": ["Tl", "Tl", "Au", "Au", "F", "F"], "frac_coords": [[0.202, 0.000, 0.000], [0.798, 0.000, 0.000], [0.000, 0.001, 0.001], [0.500, 0.011, 0.011], [0.301, 0.333, 0.333], [0.699, 0.333, 0.333]]}



*x*
{"formula": "TlAuF", "functional": "PBE", "state": "optimized geometry", "magmom_total_mub_per_atom": 0.000, "n_ef_per_ev_cell": 0.75, "vol_a3_per_atom": 22.4, "cell": [[3.165, 0.000, 0.000], [0.000, 3.105, 0.000], [-1.559, 0.000, 6.825]], "species": ["Tl", "Au", "F"], "frac_coords": [[0.000, 0.000, 0.000], [0.802, 0.500, 0.593], [0.593, 0.500, 0.189]]}



*y*
{"formula": "TlAuF", "functional": "PBE", "state": "optimized geometry", "magmom_total_mub_per_atom": 0.000, "n_ef_per_ev_cell": 0.56, "vol_a3_per_atom": 21.4, "cell": [[3.031, 0.000, 0.000], [0.000, 4.234, 0.000], [0.000, 0.000, 5.015]], "species": ["Tl", "Au", "F"], "frac_coords": [[0.000, 0.000, 0.000], [0.500, 0.000, 0.500], [0.500, 0.500, 0.000]]}



Energy above the most stable structure, in meV/atom: *w* 127; *x* 85; *y* 0



*w*
{"formula": "TlAuF2", "functional": "PBE", "state": "optimized geometry", "magmom_total_mub_per_atom": 0.000, "vol_a3_per_atom": 20.0, "cell": [[-2.306, 2.306, 7.517], [2.306, -2.306, 7.517], [2.306, 2.306, -7.517]], "species": ["Tl", "Tl", "Au", "Au", "F", "F", "F", "F"], "frac_coords": [[0.000, 0.000, 0.000], [0.750, 0.250, 0.500], [0.250, 0.750, 0.500], [0.500, 0.500, 0.000], [0.192, 0.125, 0.567], [0.375, 0.808, 0.933], [0.558, 0.625, 0.433], [0.875, 0.442, 0.067]]}



*x*
{"formula": "TlAuF2", "functional": "PBE", "state": "optimized geometry", "magmom_total_mub_per_atom": 0.000, "n_ef_per_ev_cell": 0.00, "vol_a3_per_atom": 26.6, "cell": [[2.145, 1.238, 6.678], [-2.145, 1.238, 6.678], [0.000, -2.477, 6.678]], "species": ["Tl", "Au", "F", "F"], "frac_coords": [[0.000, 0.000, 0.000], [0.500, 0.500, 0.500], [0.399, 0.399, 0.399], [0.601, 0.601, 0.601]]}



*y*
{"formula": "TlAuF2", "functional": "PBE", "state": "optimized geometry", "magmom_total_mub_per_atom": 0.000, "n_ef_per_ev_cell": 0.00, "vol_a3_per_atom": 16.7, "cell": [[0.000, 3.218, 3.218], [3.218, 0.000, 3.218], [3.218, 3.218, 0.000]], "species": ["Tl", "Au", "F", "F"], "frac_coords": [[0.000, 0.000, 0.000], [0.500, 0.500, 0.500], [0.250, 0.250, 0.250], [0.750, 0.750, 0.750]]}



Energy above the most stable structure, in meV/atom: *w* 197; *x* 0; *y* 284



*w*
{"formula": "TlAu2F8", "functional": "PBE", "state": "optimized geometry", "magmom_total_mub_per_atom": 0.094, "n_ef_per_ev_cell": 10.26, "vol_a3_per_atom": 19.3, "cell": [[4.517, -5.173, 0.000], [4.517, 5.173, 0.000], [-1.791, 0.000, 9.077]], "species": ["Tl", "Tl", "Au", "Au", "Au", "Au", "F", "F", "F", "F", "F", "F", "F", "F", "F", "F", "F", "F", "F", "F", "F", "F"], "frac_coords": [[0.191, 0.809, 0.750], [0.809, 0.191, 0.250], [0.128, 0.266, 0.586], [0.266, 0.128, 0.086], [0.734, 0.872, 0.914], [0.872, 0.734, 0.414], [0.082, 0.087, 0.386], [0.087, 0.082, 0.886], [0.108, 0.334, 0.172], [0.137, 0.655, 0.510], [0.196, 0.478, 0.769], [0.334, 0.108, 0.672], [0.345, 0.863, 0.990], [0.478, 0.196, 0.269], [0.522, 0.804, 0.731], [0.655, 0.137, 0.010], [0.666, 0.892, 0.328], [0.804, 0.522, 0.231], [0.863, 0.345, 0.490], [0.892, 0.666, 0.828], [0.913, 0.918, 0.114], [0.918, 0.913, 0.614]]}



*x*
{"formula": "TlAu2F8", "functional": "PBE", "state": "optimized geometry", "magmom_total_mub_per_atom": 0.000, "n_ef_per_ev_cell": 2.56, "vol_a3_per_atom": 17.5, "cell": [[6.292, -3.714, 0.000], [6.292, 3.714, 0.000], [-0.319, 0.000, 4.111]], "species": ["Tl", "Au", "Au", "F", "F", "F", "F", "F", "F", "F", "F"], "frac_coords": [[0.000, 0.000, 0.000], [0.259, 0.259, 0.752], [0.741, 0.741, 0.248], [0.072, 0.727, 0.254], [0.239, 0.239, 0.248], [0.273, 0.928, 0.746], [0.415, 0.415, 0.770], [0.585, 0.585, 0.230], [0.727, 0.072, 0.254], [0.761, 0.761, 0.752], [0.928, 0.273, 0.746]]}



Energy above the most stable structure, in meV/atom: *w* 0; *x* 178